DFT (PBE-GGA) results for a geometry-optimized ZnAg2As structure.

Computed properties:
E above lowest polymorph   10 meV/atom
DFT formation energy   0.0826 eV per atom

Cell lengths 3.126, 3.887, 5.795 Å; angles 90.00, 90.52, 90.00 degrees
Space group Pm (No. 6)
Asymmetric unit:
Zn: 0.000 0.000 0.000 x1
Ag: 0.008 0.000 0.494 x1
Ag: 0.501 0.500 0.233 x1
As: 0.524 0.500 0.749 x1